Entry 1:
## YTlSiHg2 (PBE-GGA)

Data for a relaxed structure of YTlSiHg2.

Cell lengths 5.0641, 5.3092, 5.0641 Å; angles 90.00, 90.00, 90.00 degrees
Positions (direct):
1 Tl 0.0000 0.5000 0.0000
2 Si 0.0000 0.0000 0.0000
3 Hg 0.0000 0.0000 0.5000
4 Y 0.5000 0.5000 0.5000
5 Hg 0.5000 0.0000 0.0000

## Properties
raw formation energy = 0.27 eV per atom
theoretical density = 8812 kg/m³
total DFT energy (no corrections) = -2.70 eV per atom
magnetization = 0.000 μB per atom

Entry 2:
## Mn2FeHRh (PBE-GGA)

Data for a relaxed structure of Mn2FeHRh.

Cell lengths 3.6858, 3.6858, 3.7923 Å; angles 90.00, 90.00, 90.00 degrees
Site moments in Bohr magnetons follow the coordinates.
Positions (direct):
1 H 0.0000 0.0000 0.0000  0.02
2 Mn 0.5000 0.0000 0.0000  -1.93
3 Rh 0.0000 0.0000 0.5000  0.07
4 Mn 0.0000 0.5000 0.0000  -1.93
5 Fe 0.5000 0.5000 0.5000  2.61

## Properties
energy relative to the lowest polymorph listed for this composition = 0 meV/atom
theoretical density = 8691 kg/m³
total DFT energy (no corrections) = -7.49 eV per atom
magnetization = 0.249 μB per atom

Entry 3:
## BeMoBr (PBE-GGA)

Data for a relaxed structure of BeMoBr.

Cell lengths 3.0749, 3.0749, 6.0227 Å; angles 90.00, 90.00, 120.00 degrees
Positions (direct):
1 Br 0.6667 0.3333 0.3564
2 Mo 0.3333 0.6667 0.6768
3 Be 0.0000 0.0000 0.9668

## Properties
energy relative to the lowest polymorph listed for this composition = 0 meV/atom
raw formation energy = 0.55 eV per atom
theoretical density = 6224 kg/m³
total DFT energy (no corrections) = -4.86 eV per atom
magnetization = 0.000 μB per atom